No. 1
# Ba2CeCuO5 | Alexandria | PBE | relaxed
data_Ba2CeCuO5
_chemical_formula_sum 'Ba4 Ce2 Cu2 O10'
_cell_length_a 3.602
_cell_length_b 8.040
_cell_length_c 10.895
_cell_angle_alpha 90.00
_cell_angle_beta 90.00
_cell_angle_gamma 102.94
_symmetry_space_group_name_H-M 'P 1'
_symmetry_Int_Tables_number 1
_symmetry_space_group_name_Hall 'P 1'
loop_
_atom_site_label
_atom_site_fract_x
_atom_site_fract_y
_atom_site_fract_z
Ba1 0.878 0.756 0.821
Ba2 0.122 0.244 0.321
Ba3 0.887 0.774 0.195
Ba4 0.113 0.226 0.695
Cu1 0.464 0.928 0.461
Cu2 0.536 0.072 0.961
O1 0.300 0.599 0.380
O2 0.659 0.318 0.511
O3 0.954 0.907 0.510
O4 0.502 0.005 0.792
O5 0.700 0.401 0.880
O6 0.341 0.682 0.011
O7 0.297 0.594 0.642
O8 0.046 0.093 0.010
O9 0.498 0.995 0.292
O10 0.703 0.406 0.142
Ce1 0.205 0.409 0.012
Ce2 0.795 0.591 0.512
# - Size of the total moment: 1.162 μB per cell
# - SG: Cmc2_1, No. 36
# - Fermi-level density of states: 2.75 states/eV/f.u.
# - ΔE_f (raw): -2.383 eV/atom

---

No. 2
# Ba3CeCu2O6 | Alexandria | PBE | relaxed
data_Ba3CeCu2O6
_chemical_formula_sum 'Ba3 Ce1 Cu2 O6'
_cell_length_a 6.207
_cell_length_b 6.207
_cell_length_c 6.936
_cell_angle_alpha 90.00
_cell_angle_beta 90.00
_cell_angle_gamma 120.00
_symmetry_space_group_name_H-M 'P 1'
_symmetry_Int_Tables_number 1
_symmetry_space_group_name_Hall 'P 1'
loop_
_atom_site_label
_atom_site_fract_x
_atom_site_fract_y
_atom_site_fract_z
Ce1 0.000 0.000 0.500
O1 0.671 0.835 0.302
O2 0.165 0.835 0.302
O3 0.329 0.165 0.698
O4 0.835 0.671 0.698
O5 0.835 0.165 0.698
O6 0.165 0.329 0.302
Cu1 0.667 0.333 0.797
Cu2 0.333 0.667 0.203
Ba1 0.000 0.000 0.000
Ba2 0.667 0.333 0.346
Ba3 0.333 0.667 0.654
# - Size of the total moment: 0.000 μB per cell
# - SG: P-3m1, No. 164
# - Fermi-level density of states: 0.50 states/eV/f.u.
# - ΔE_f (raw): -2.083 eV/atom

---

No. 3
# Ba3CeCu2O8 | Alexandria | PBE | relaxed
data_Ba3CeCu2O8
_chemical_formula_sum 'Ba3 Ce1 Cu2 O8'
_cell_length_a 5.987
_cell_length_b 5.987
_cell_length_c 7.714
_cell_angle_alpha 90.00
_cell_angle_beta 90.00
_cell_angle_gamma 120.00
_symmetry_space_group_name_H-M 'P 1'
_symmetry_Int_Tables_number 1
_symmetry_space_group_name_Hall 'P 1'
loop_
_atom_site_label
_atom_site_fract_x
_atom_site_fract_y
_atom_site_fract_z
Cu1 0.333 0.667 0.202
Cu2 0.667 0.333 0.798
O1 0.341 0.170 0.673
O2 0.170 0.830 0.327
O3 0.333 0.667 0.972
O4 0.667 0.333 0.028
O5 0.830 0.659 0.673
O6 0.170 0.341 0.327
O7 0.830 0.170 0.673
O8 0.659 0.830 0.327
Ba1 0.000 0.000 0.000
Ba2 0.333 0.667 0.645
Ba3 0.667 0.333 0.355
Ce1 0.000 0.000 0.500
# - Size of the total moment: 4.033 μB per cell
# - SG: P-3m1, No. 164
# - Fermi-level density of states: 8.03 states/eV/f.u.
# - ΔE_f (raw): -1.937 eV/atom

---

No. 4
# Ba2CeCu2S6 | Alexandria | PBE | relaxed
data_Ba2CeCu2S6
_chemical_formula_sum 'Ba2 Ce1 Cu2 S6'
_cell_length_a 7.154
_cell_length_b 7.154
_cell_length_c 7.962
_cell_angle_alpha 63.30
_cell_angle_beta 63.30
_cell_angle_gamma 60.00
_symmetry_space_group_name_H-M 'P 1'
_symmetry_Int_Tables_number 1
_symmetry_space_group_name_Hall 'P 1'
loop_
_atom_site_label
_atom_site_fract_x
_atom_site_fract_y
_atom_site_fract_z
S1 0.751 0.227 0.271
S2 0.249 0.773 0.729
S3 0.751 0.751 0.271
S4 0.249 0.249 0.729
S5 0.227 0.751 0.271
S6 0.773 0.249 0.729
Ce1 0.000 0.000 0.000
Ba1 0.782 0.782 0.654
Ba2 0.218 0.218 0.346
Cu1 0.425 0.425 0.724
Cu2 0.575 0.575 0.276
# - Size of the total moment: 0.008 μB per cell
# - SG: R-3m, No. 166
# - Fermi-level density of states: 11.89 states/eV/f.u.
# - ΔE_f (raw): -1.171 eV/atom

---

No. 5
# Ba3CeCu2S6 | Alexandria | PBE | relaxed
data_Ba3CeCu2S6
_chemical_formula_sum 'Ba3 Ce1 Cu2 S6'
_cell_length_a 7.380
_cell_length_b 7.380
_cell_length_c 7.993
_cell_angle_alpha 90.00
_cell_angle_beta 90.00
_cell_angle_gamma 120.00
_symmetry_space_group_name_H-M 'P 1'
_symmetry_Int_Tables_number 1
_symmetry_space_group_name_Hall 'P 1'
loop_
_atom_site_label
_atom_site_fract_x
_atom_site_fract_y
_atom_site_fract_z
Ba1 0.333 0.667 0.624
Ba2 0.667 0.333 0.376
Ba3 0.000 0.000 0.000
S1 0.166 0.834 0.293
S2 0.834 0.667 0.707
S3 0.834 0.166 0.707
S4 0.333 0.166 0.707
S5 0.667 0.834 0.293
S6 0.166 0.333 0.293
Cu1 0.333 0.667 0.227
Cu2 0.667 0.333 0.773
Ce1 0.000 0.000 0.500
# - Size of the total moment: 0.000 μB per cell
# - SG: P-3m1, No. 164
# - ΔE_f (raw): -1.406 eV/atom

---

No. 6
# Ba2CeCuS5 | Alexandria | PBE | relaxed
data_Ba2CeCuS5
_chemical_formula_sum 'Ba4 Ce2 Cu2 S10'
_cell_length_a 4.150
_cell_length_b 9.242
_cell_length_c 12.874
_cell_angle_alpha 90.00
_cell_angle_beta 90.00
_cell_angle_gamma 102.97
_symmetry_space_group_name_H-M 'P 1'
_symmetry_Int_Tables_number 1
_symmetry_space_group_name_Hall 'P 1'
loop_
_atom_site_label
_atom_site_fract_x
_atom_site_fract_y
_atom_site_fract_z
S1 0.307 0.615 0.381
S2 0.657 0.315 0.520
S3 0.499 0.999 0.772
S4 0.305 0.609 0.665
S5 0.959 0.919 0.497
S6 0.695 0.391 0.165
S7 0.343 0.685 0.020
S8 0.501 0.001 0.272
S9 0.693 0.385 0.881
S10 0.041 0.081 0.997
Ba1 0.121 0.243 0.341
Ba2 0.879 0.757 0.841
Ba3 0.880 0.759 0.199
Ba4 0.120 0.241 0.699
Ce1 0.195 0.390 0.024
Ce2 0.805 0.610 0.524
Cu1 0.441 0.882 0.426
Cu2 0.559 0.118 0.926
# - Size of the total moment: 0.000 μB per cell
# - SG: Cmc2_1, No. 36
# - Fermi-level density of states: 5.51 states/eV/f.u.
# - ΔE_f (raw): -1.561 eV/atom

---

No. 7
# Ba2CeCu2Se6 | Alexandria | PBE | relaxed
data_Ba2CeCu2Se6
_chemical_formula_sum 'Ba2 Ce1 Cu2 Se6'
_cell_length_a 6.252
_cell_length_b 7.461
_cell_length_c 8.832
_cell_angle_alpha 116.22
_cell_angle_beta 90.00
_cell_angle_gamma 114.77
_symmetry_space_group_name_H-M 'P 1'
_symmetry_Int_Tables_number 1
_symmetry_space_group_name_Hall 'P 1'
loop_
_atom_site_label
_atom_site_fract_x
_atom_site_fract_y
_atom_site_fract_z
Cu1 0.076 0.152 0.267
Cu2 0.924 0.848 0.733
Ce1 0.500 0.000 0.500
Ba1 0.294 0.588 0.788
Ba2 0.706 0.412 0.212
Se1 0.678 0.869 0.181
Se2 0.269 0.538 0.392
Se3 0.731 0.462 0.608
Se4 0.191 0.869 0.181
Se5 0.322 0.131 0.819
Se6 0.809 0.131 0.819
# - Size of the total moment: 0.419 μB per cell
# - SG: C2/m, No. 12
# - Fermi-level density of states: 3.47 states/eV/f.u.
# - ΔE_f (raw): -1.168 eV/atom

---

No. 8
# BaCeCu2Se4 | Alexandria | PBE | relaxed
data_BaCeCu2Se4
_chemical_formula_sum 'Ba1 Ce1 Cu2 Se4'
_cell_length_a 6.827
_cell_length_b 6.647
_cell_length_c 6.647
_cell_angle_alpha 70.23
_cell_angle_beta 59.10
_cell_angle_gamma 59.10
_symmetry_space_group_name_H-M 'P 1'
_symmetry_Int_Tables_number 1
_symmetry_space_group_name_Hall 'P 1'
loop_
_atom_site_label
_atom_site_fract_x
_atom_site_fract_y
_atom_site_fract_z
Cu1 0.849 0.651 0.651
Cu2 0.151 0.349 0.349
Se1 0.450 0.107 0.500
Se2 0.550 0.500 0.893
Se3 0.942 0.500 0.107
Se4 0.058 0.893 0.500
Ba1 0.000 0.000 0.000
Ce1 0.500 0.500 0.500
# - Size of the total moment: 0.158 μB per cell
# - SG: I222, No. 23
# - Fermi-level density of states: 3.79 states/eV/f.u.
# - ΔE_f (raw): -1.057 eV/atom

---

No. 9
# BaCeCuSe4 | Alexandria | PBE | relaxed
data_BaCeCuSe4
_chemical_formula_sum 'Ba2 Ce2 Cu2 Se8'
_cell_length_a 7.248
_cell_length_b 5.891
_cell_length_c 9.088
_cell_angle_alpha 90.00
_cell_angle_beta 106.90
_cell_angle_gamma 90.00
_symmetry_space_group_name_H-M 'P 1'
_symmetry_Int_Tables_number 1
_symmetry_space_group_name_Hall 'P 1'
loop_
_atom_site_label
_atom_site_fract_x
_atom_site_fract_y
_atom_site_fract_z
Ba1 0.259 0.250 0.063
Ba2 0.741 0.750 0.937
Ce1 0.271 0.250 0.559
Ce2 0.729 0.750 0.441
Se1 0.555 0.250 0.855
Se2 0.421 0.750 0.589
Se3 0.985 0.010 0.279
Se4 0.015 0.990 0.721
Se5 0.579 0.250 0.411
Se6 0.985 0.490 0.279
Se7 0.015 0.510 0.721
Se8 0.445 0.750 0.145
Cu1 0.256 0.750 0.321
Cu2 0.744 0.250 0.679
# - Size of the total moment: 0.541 μB per cell
# - SG: P2_1/m, No. 11
# - Fermi-level density of states: 2.59 states/eV/f.u.
# - ΔE_f (raw): -1.373 eV/atom

---

No. 10
# BaCe4Cu3Se12 | Alexandria | PBE | relaxed
data_BaCe4Cu3Se12
_chemical_formula_sum 'Ba1 Ce4 Cu3 Se12'
_cell_length_a 8.963
_cell_length_b 8.963
_cell_length_c 8.963
_cell_angle_alpha 109.47
_cell_angle_beta 109.47
_cell_angle_gamma 109.47
_symmetry_space_group_name_H-M 'P 1'
_symmetry_Int_Tables_number 1
_symmetry_space_group_name_Hall 'P 1'
loop_
_atom_site_label
_atom_site_fract_x
_atom_site_fract_y
_atom_site_fract_z
Cu1 0.000 0.500 0.500
Cu2 0.500 0.000 0.500
Cu3 0.500 0.500 0.000
Se1 0.844 0.165 0.321
Se2 0.321 0.156 0.477
Se3 0.844 0.523 0.679
Se4 0.156 0.835 0.679
Se5 0.165 0.321 0.844
Se6 0.835 0.679 0.156
Se7 0.156 0.477 0.321
Se8 0.679 0.156 0.835
Se9 0.477 0.321 0.156
Se10 0.523 0.679 0.844
Se11 0.321 0.844 0.165
Se12 0.679 0.844 0.523
Ce1 0.500 0.000 0.000
Ce2 0.000 0.000 0.500
Ce3 0.000 0.500 0.000
Ce4 0.500 0.500 0.500
Ba1 0.000 0.000 0.000
# - Size of the total moment: 0.052 μB per cell
# - SG: Im-3, No. 204
# - Fermi-level density of states: 18.97 states/eV/f.u.
# - ΔE_f (raw): -1.067 eV/atom

---

No. 11
# Ba2CeCuSe5 | Alexandria | PBE | relaxed
data_Ba2CeCuSe5
_chemical_formula_sum 'Ba4 Ce2 Cu2 Se10'
_cell_length_a 4.308
_cell_length_b 9.640
_cell_length_c 13.273
_cell_angle_alpha 90.00
_cell_angle_beta 90.00
_cell_angle_gamma 102.91
_symmetry_space_group_name_H-M 'P 1'
_symmetry_Int_Tables_number 1
_symmetry_space_group_name_Hall 'P 1'
loop_
_atom_site_label
_atom_site_fract_x
_atom_site_fract_y
_atom_site_fract_z
Se1 0.343 0.686 0.020
Se2 0.657 0.314 0.520
Se3 0.500 0.001 0.268
Se4 0.962 0.923 0.505
Se5 0.500 0.999 0.768
Se6 0.695 0.390 0.168
Se7 0.694 0.387 0.877
Se8 0.038 0.077 0.005
Se9 0.306 0.613 0.377
Se10 0.305 0.610 0.668
Ba1 0.880 0.760 0.841
Ba2 0.120 0.240 0.341
Ba3 0.121 0.243 0.698
Ba4 0.879 0.757 0.198
Cu1 0.438 0.875 0.425
Cu2 0.562 0.125 0.925
Ce1 0.807 0.613 0.523
Ce2 0.193 0.387 0.023
# - Size of the total moment: 0.000 μB per cell
# - SG: Cmc2_1, No. 36
# - Fermi-level density of states: 6.00 states/eV/f.u.
# - ΔE_f (raw): -1.482 eV/atom

---

No. 12
# BaCe2Cu2Se6 | Alexandria | PBE | relaxed
data_BaCe2Cu2Se6
_chemical_formula_sum 'Ba1 Ce2 Cu2 Se6'
_cell_length_a 7.600
_cell_length_b 7.849
_cell_length_c 7.909
_cell_angle_alpha 120.91
_cell_angle_beta 90.70
_cell_angle_gamma 60.40
_symmetry_space_group_name_H-M 'P 1'
_symmetry_Int_Tables_number 1
_symmetry_space_group_name_Hall 'P 1'
loop_
_atom_site_label
_atom_site_fract_x
_atom_site_fract_y
_atom_site_fract_z
Se1 0.052 0.542 0.799
Se2 0.594 0.202 0.946
Se3 0.797 0.156 0.415
Se4 0.406 0.798 0.054
Se5 0.948 0.458 0.201
Se6 0.203 0.844 0.585
Ce1 0.828 0.346 0.831
Ce2 0.172 0.654 0.169
Ba1 0.500 0.000 0.500
Cu1 0.781 0.266 0.186
Cu2 0.219 0.734 0.814
# - Size of the total moment: 0.000 μB per cell
# - SG: P-1, No. 2
# - ΔE_f (raw): -1.258 eV/atom

---

| no. | final energy (eV per atom) |
| --- | --- |
| 1 | -6.6790 |
| 2 | -6.2203 |
| 3 | -6.1910 |
| 4 | -5.0562 |
| 5 | -5.1274 |
| 6 | -5.3958 |
| 7 | -4.7022 |
| 8 | -4.8050 |
| 9 | -5.0721 |
| 10 | -5.0554 |
| 11 | -4.9595 |
| 12 | -5.1567 |